[1]
VASP calculation (PBE-GGA) on crystalline NiHg at its relaxed geometry.

abc: 3.1041 3.1041 3.2546
angles: 90.00 90.00 90.00
With the nearest neighbours (Å) after each atom.
Atoms (fractional coordinates):
Ni 0.0000 0.0000 0.0000  8 Hg 2.73
Hg 0.5000 0.5000 0.5000  8 Ni 2.73

Computed properties:
Formation energy from the elements in meV per atom: 204
Space-group type: P4/mmm (123)

***

[2]
VASP calculation (PBE-GGA) on crystalline Ni7Hg at its relaxed geometry.

abc: 2.5940 3.3927 33.8071
angles: 90.00 90.00 90.00
With the nearest neighbours (Å) after each atom.
Atoms (fractional coordinates):
Ni 0.0000 0.0000 0.0000  7 Ni 2.45-2.59
Ni 0.0000 0.0000 0.0723  12 Ni 2.45-2.59
Ni 0.0000 0.0000 0.1450  12 Ni 2.46-2.59
Ni 0.0000 0.0000 0.2181  12 Ni 2.46-2.59
Ni 0.0000 0.0000 0.2911  12 Ni 2.45-2.59
Ni 0.0000 0.0000 0.3635  12 Ni 2.45-2.59
Ni 0.0000 0.0000 0.4365  11 Ni 2.45-2.59
Ni 0.5000 0.5000 0.0356  11 Ni 2.45-2.59
Ni 0.5000 0.5000 0.1091  12 Ni 2.45-2.59
Ni 0.5000 0.5000 0.1815  12 Ni 2.45-2.59
Ni 0.5000 0.5000 0.2544  12 Ni 2.46-2.59
Ni 0.5000 0.5000 0.3275  12 Ni 2.45-2.59
Ni 0.5000 0.5000 0.4001  12 Ni 2.44-2.59
Ni 0.5000 0.5000 0.4722  7 Ni 2.44-2.59
Hg 0.0000 0.0000 0.5240  2 Hg 2.59, 4 Ni 2.76
Hg 0.5000 0.5000 0.9482  2 Hg 2.59, 4 Ni 2.76

Computed properties:
ΔE to the lowest computed polymorph in eV/atom: 0.0000
Formation energy from the elements in meV per atom: 123
Space-group type: Pmm2 (25)

***

[3]
VASP calculation (PBE-GGA) on crystalline Ni2Hg at its relaxed geometry.

abc: 4.1576 4.1576 4.1576
angles: 60.00 60.00 60.00
With the nearest neighbours (Å) after each atom.
Atoms (fractional coordinates):
Ni 0.2500 0.2500 0.2500  4 Hg 2.55
Ni 0.7500 0.7500 0.7500  4 Hg 2.55
Hg 0.0000 0.0000 0.0000  8 Ni 2.55

Computed properties:
Formation energy from the elements in meV per atom: 649
Space-group type: Fm-3m (225)

***

[4]
VASP calculation (PBE-GGA) on crystalline Ni3Hg2 at its relaxed geometry.

abc: 6.0285 6.0285 6.0285
angles: 64.39 64.39 64.39
With the nearest neighbours (Å) after each atom.
Atoms (fractional coordinates):
Ni 0.0283 0.2500 0.4717  2 Ni 2.47, 4 Hg 2.58-2.62
Ni 0.2500 0.4717 0.0283  2 Ni 2.47, 4 Hg 2.58-2.62
Ni 0.4717 0.0283 0.2500  2 Ni 2.47, 4 Hg 2.58-2.62
Ni 0.5283 0.9717 0.7500  2 Ni 2.47, 4 Hg 2.58-2.62
Ni 0.7500 0.5283 0.9717  2 Ni 2.47, 4 Hg 2.58-2.62
Ni 0.9717 0.7500 0.5283  2 Ni 2.47, 4 Hg 2.58-2.62
Hg 0.0960 0.0960 0.0960  6 Ni 2.58-2.62, 1 Hg 2.74
Hg 0.4040 0.4040 0.4040  6 Ni 2.58-2.62, 1 Hg 2.74
Hg 0.5960 0.5960 0.5960  6 Ni 2.58-2.62, 1 Hg 2.74
Hg 0.9040 0.9040 0.9040  6 Ni 2.58-2.62, 1 Hg 2.74

Computed properties:
ΔE to the lowest computed polymorph in eV/atom: 0.2647
Formation energy from the elements in meV per atom: 529
Space-group type: R-3c (167)

***

[5]
VASP calculation (PBE-GGA) on crystalline NiHg at its relaxed geometry.

abc: 3.0130 3.0130 4.1567
angles: 90.00 90.00 120.00
With the nearest neighbours (Å) after each atom.
Atoms (fractional coordinates):
Ni 0.0000 0.0000 0.0000  6 Hg 2.71, 6 Ni 3.01
Hg 0.3333 0.6667 0.5000  6 Ni 2.71, 6 Hg 3.01

Computed properties:
Formation energy from the elements in meV per atom: 341
Space-group type: P-6m2 (187)

***

[6]
VASP calculation (PBE-GGA) on crystalline Ni3Hg at its relaxed geometry.

abc: 3.7489 3.7489 3.7489
angles: 90.00 90.00 90.00
With the nearest neighbours (Å) after each atom.
Atoms (fractional coordinates):
Ni 0.0000 0.0000 0.5000  4 Hg 2.65, 8 Ni 2.65
Ni 0.0000 0.5000 0.0000  4 Hg 2.65, 8 Ni 2.65
Ni 0.5000 0.0000 0.0000  4 Hg 2.65, 8 Ni 2.65
Hg 0.5000 0.5000 0.5000  12 Ni 2.65

Computed properties:
Formation energy from the elements in meV per atom: 203
Space-group type: Pm-3m (221)

***

[7]
VASP calculation (PBE-GGA) on crystalline Ni3Hg at its relaxed geometry.

abc: 5.3458 5.3458 4.2719
angles: 90.00 90.00 120.00
With the nearest neighbours (Å) after each atom.
Atoms (fractional coordinates):
Ni 0.1552 0.3105 0.2500  6 Ni 2.49-2.57, 4 Hg 2.67-2.70
Ni 0.1552 0.8448 0.2500  6 Ni 2.49-2.57, 4 Hg 2.67-2.70
Ni 0.3105 0.1552 0.7500  6 Ni 2.49-2.57, 4 Hg 2.67-2.70
Ni 0.6895 0.8448 0.2500  6 Ni 2.49-2.57, 4 Hg 2.67-2.70
Ni 0.8448 0.1552 0.7500  6 Ni 2.49-2.57, 4 Hg 2.67-2.70
Ni 0.8448 0.6895 0.7500  6 Ni 2.49-2.57, 4 Hg 2.67-2.70
Hg 0.3333 0.6667 0.7500  12 Ni 2.67-2.70
Hg 0.6667 0.3333 0.2500  12 Ni 2.67-2.70

Computed properties:
Formation energy from the elements in meV per atom: 182
Space-group type: P6_3/mmc (194)

***

[8]
VASP calculation (PBE-GGA) on crystalline NiHg at its relaxed geometry.

abc: 4.1056 4.1056 6.6365
angles: 90.00 90.00 120.00
With the nearest neighbours (Å) after each atom.
Atoms (fractional coordinates):
Ni 0.3333 0.6667 0.0000  4 Hg 2.50-2.51
Ni 0.6667 0.3333 0.5000  4 Hg 2.50-2.51
Hg 0.3333 0.6667 0.6237  4 Ni 2.50-2.51
Hg 0.6667 0.3333 0.1237  4 Ni 2.50-2.51

Computed properties:
Formation energy from the elements in meV per atom: 889
Space-group type: P6_3mc (186)

***

[9]
VASP calculation (PBE-GGA) on crystalline Ni7Hg at its relaxed geometry.

abc: 2.9264 2.9264 29.7369
angles: 90.00 90.00 90.00
With the nearest neighbours (Å) after each atom.
Atoms (fractional coordinates):
Ni 0.0000 0.0000 0.0000  10 Ni 2.42-2.55
Ni 0.0000 0.0000 0.0844  10 Ni 2.42-2.53
Ni 0.0000 0.0000 0.1694  10 Ni 2.42-2.53
Ni 0.0000 0.0000 0.2536  10 Ni 2.42-2.53
Ni 0.0000 0.0000 0.3387  9 Ni 2.42-2.53
Ni 0.0000 0.0000 0.8288  5 Ni 2.44-2.54
Ni 0.0000 0.0000 0.9143  10 Ni 2.41-2.55
Ni 0.5000 0.5000 0.0424  10 Ni 2.42-2.52
Ni 0.5000 0.5000 0.1268  10 Ni 2.42-2.52
Ni 0.5000 0.5000 0.2116  10 Ni 2.42-2.53
Ni 0.5000 0.5000 0.2968  10 Ni 2.42-2.55
Ni 0.5000 0.5000 0.3825  5 Ni 2.45-2.55
Ni 0.5000 0.5000 0.8726  9 Ni 2.41-2.52
Ni 0.5000 0.5000 0.9575  10 Ni 2.43-2.52
Hg 0.0000 0.0000 0.4438  4 Ni 2.76, 4 Hg 2.93
Hg 0.5000 0.5000 0.7678  4 Ni 2.75, 4 Hg 2.93

Computed properties:
ΔE to the lowest computed polymorph in eV/atom: 0.0215
Formation energy from the elements in meV per atom: 145
Space-group type: P4mm (99)

***

Which formula does entry 5 have? NiHg